12
Lattice="5.0972 0.0387 -0.0029 0.0844 5.3569 -0.0059 0.0042 0.0081 7.1774" Properties=species:S:1:pos:R:3 comment="KCd2PdF8, relaxed, DFT PBE" total_energy_ev_per_atom=-3.90 pbc="T T T"
F 0.8843 4.2134 5.7513
F 1.9592 1.5689 3.5859
Cd 2.5919 2.6998 1.7554
F 3.2267 3.8349 3.5826
F 1.6825 1.5277 -0.0026
F 4.3015 1.1904 1.4172
Cd 2.5940 2.7039 5.4131
K 0.0021 0.0040 3.5887
F 4.3042 1.1953 5.7527
F 0.8817 4.2084 1.4159
Pd 0.0000 0.0000 0.0000
F 3.5033 3.8760 7.1711

24
Lattice="-0.0438 2.4179 -4.9731 0.4714 -6.3674 -3.1000 -8.5178 -0.5395 -0.1872" Properties=species:S:1:pos:R:3 comment="PbSO4, relaxed, DFT PBE" n_ef_per_ev_fu=0.0 relative_energy_ev_per_atom=0.000 pbc="T T T"
O -0.3132 -5.0844 -2.6457
O -3.0444 -5.3837 -4.1280
O -7.7770 0.5955 -5.6146
O -4.6217 -4.6851 -2.4136
O -2.6362 1.4057 -3.9051
O -5.0458 0.8948 -4.1323
S -0.2292 -3.7594 -3.3631
S -4.4221 -4.9207 -3.8907
Pb -6.4876 -3.8871 -6.4446
O -5.4540 -5.8946 -4.3552
S -3.6681 0.4318 -4.3696
O -7.4504 -3.6665 -3.2542
S -7.8610 -0.7296 -4.8972
Pb -1.6026 -0.6018 -1.8157
O -3.4686 0.1962 -5.8467
O -7.7576 -0.4748 -3.4134
O -0.6398 -0.8224 -5.0061
O -6.6952 -1.5643 -5.3134
Pb -2.3015 -2.6343 -5.8723
Pb -5.7887 -1.8546 -2.3880
O -3.4492 -0.8740 -3.6455
O -4.6411 -3.6149 -4.6148
O -1.3950 -2.9246 -2.9469
O -0.3326 -4.0141 -4.8469

14
Lattice="5.8184 0.0000 1.6485 2.9092 8.4001 0.8243 -0.1129 0.0000 9.0738" Properties=species:S:1:pos:R:3 comment="CeTh5Sc, relaxed, DFT PBE" n_ef_per_ev_fu=14.8 formation_energy_ev_per_atom=0.23 pbc="T T T"
Th 2.1696 2.5571 9.2795
Th 4.5877 3.0131 2.7171
Th 1.1743 3.0131 3.4684
Th 4.0270 5.3869 8.8296
Ce 2.8810 0.1150 3.0927
Th 5.7337 2.4066 8.4539
Sc 0.0000 0.0000 0.0000
Th 3.4795 2.5571 5.9798
Ce 5.7337 8.2851 8.4539
Th 7.4404 5.3869 8.0783
Th 6.4451 5.8429 2.2671
Th 5.1352 5.8429 5.5669
Th 2.8810 5.9935 3.0927
Sc -0.0564 0.0000 4.5369

4
Lattice="2.1371 -1.8065 3.7219 0.0703 3.2660 3.3183 -3.5170 -1.6379 -2.5751" Properties=species:S:1:pos:R:3 comment="Zn2PIr, relaxed, DFT PBE" n_ef_per_ev_fu=0.9 formation_energy_ev_per_atom=0.03 pbc="T T T"
P -0.1381 -1.3573 2.3334
Zn -1.1715 1.1790 2.1316
Zn 0.0000 0.0000 0.0000
Ir 1.1037 0.7298 3.5201

6
Lattice="-2.4142 2.8221 0.1903 -3.6777 -5.5777 -0.2764 -4.7144 -4.4284 5.8622" Properties=species:S:1:pos:R:3 comment="BiHPb, relaxed, DFT PBE" n_ef_per_ev_fu=0.9 relative_energy_ev_per_atom=0.018 pbc="T T T"
Bi -3.4076 -3.0012 1.2773
Pb -6.8430 -3.4912 1.2936
H -4.0214 -1.1214 1.9464
Bi -7.3988 -4.1828 4.4987
Pb -3.9633 -3.6928 4.4824
H -6.7850 -6.0626 3.8295

8
Lattice="-1.3867 0.1123 -3.7651 2.8986 -2.5304 -1.1431 -5.6651 -7.3332 1.8677" Properties=species:S:1:pos:R:3 comment="NdSiRh2, relaxed, DFT PBE" n_ef_per_ev_fu=3.3 total_energy_ev_per_atom=-7.07 pbc="T T T"
Nd -1.8522 -1.4439 -1.5005
Rh -5.7183 -6.4485 -0.2258
Rh -2.0766 -4.8756 -1.5202
Si -4.3127 -4.6289 -0.6893
Rh -2.8325 -3.6666 0.9339
Rh 0.8092 -2.0937 -0.3605
Si -0.5965 -3.9133 0.1029
Nd -3.0569 -7.0983 0.9141